CrNi3O | GGA+U | relaxed

Lattice parameters (Å, degrees): 3.9559 3.9559 3.9559 90.00 90.00 90.00
With the nearest neighbours (Å) after each atom.
Fractional coordinates of all 5 atoms:
Cr: 0.0000 0.0000 0.0000  12 Ni 2.80
Ni: 0.0000 0.5000 0.5000  2 O 1.98
Ni: 0.5000 0.0000 0.5000  2 O 1.98
Ni: 0.5000 0.5000 0.0000  2 O 1.98
O: 0.5000 0.5000 0.5000  6 Ni 1.98

Output
Density in g/cm3: 6.547
Uncorrected energy in eV per atom: -3.3141
N(E_F) in states/eV/atom: 0.4220
Total moment in μB per formula unit: 0.8
Space-group type: No. 221